1.
Compound: ScPd2Se2
Source: the Alexandria database
Functional: PBE-GGA
Structure: optimized geometry

Output
E ... -5.031 eV per atom
Crystal system ... tetragonal
ΔE to the lowest computed polymorph ... 258.0 meV per atom
Formation energy (no corrections) ... -1.468 eV per formula unit

abc: 3.946 3.946 12.581
angles: 90.00 90.00 90.00
Space group I4/mmm (No. 139)
One atom of each set of equivalent atoms:
1 Sc 0.000 0.000 0.000 (multiplicity 2)
2 Pd 0.000 0.000 0.396 (multiplicity 4)
3 Se 0.000 0.500 0.250 (multiplicity 4)


2.
Compound: ScPd2Se2
Source: the Alexandria database
Functional: PBE-GGA
Structure: optimized geometry

Output
E ... -5.289 eV per atom
Crystal system ... tetragonal
ΔE to the lowest computed polymorph ... 0.0 meV per atom
Formation energy (no corrections) ... -2.758 eV per formula unit

abc: 7.130 7.130 3.649
angles: 90.00 90.00 90.00
Space group P4/mbm (No. 127)
One atom of each set of equivalent atoms:
1 Sc 0.000 0.000 0.000 (multiplicity 2)
2 Pd 0.131 0.369 0.000 (multiplicity 4)
3 Se 0.185 0.685 0.500 (multiplicity 4)


3.
Compound: Sc2PdSe
Source: the Alexandria database
Functional: PBE-GGA
Structure: optimized geometry

Output
E ... -5.905 eV per atom
Crystal system ... trigonal
Formation energy (no corrections) ... -2.279 eV per formula unit

abc: 3.4710 3.4710 25.2518
angles: 90.00 90.00 120.00
Space group R-3m (No. 166, hexagonal axes)
One atom of each set of equivalent atoms:
1 Sc 0.0000 0.0000 0.0982 (multiplicity 6)
2 Pd 0.0000 0.0000 0.0000 (multiplicity 3)
3 Se 0.0000 0.0000 0.5000 (multiplicity 3)


4.
Compound: Sc2PdSe
Source: the Alexandria database
Functional: PBE-GGA
Structure: optimized geometry

Output
E ... -5.981 eV per atom
Crystal system ... trigonal
Formation energy (no corrections) ... -2.585 eV per formula unit

abc: 4.0324 4.0324 23.1276
angles: 90.00 90.00 120.00
Space group R-3m (No. 166, hexagonal axes)
One atom of each set of equivalent atoms:
1 Sc 0.0000 0.0000 0.1063 (multiplicity 6)
2 Pd 0.0000 0.0000 0.5000 (multiplicity 3)
3 Se 0.0000 0.0000 0.0000 (multiplicity 3)


5.
Compound: Sc2Pd2Se
Source: the Alexandria database
Functional: PBE-GGA
Structure: optimized geometry

Output
E ... -6.178 eV per atom
Crystal system ... tetragonal
ΔE to the lowest computed polymorph ... 0.0 meV per atom
Formation energy (no corrections) ... -4.356 eV per formula unit

abc: 7.337 7.337 3.500
angles: 90.00 90.00 90.00
Space group P4/mbm (No. 127)
One atom of each set of equivalent atoms:
1 Sc 0.170 0.330 0.000 (multiplicity 4)
2 Pd 0.130 0.630 0.500 (multiplicity 4)
3 Se 0.000 0.000 0.500 (multiplicity 2)


6.
Compound: Sc2PdSe
Source: the Alexandria database
Functional: PBE-GGA
Structure: optimized geometry

Output
E ... -6.414 eV per atom
Crystal system ... trigonal
Formation energy (no corrections) ... -4.315 eV per formula unit

abc: 3.8038 3.8038 20.0392
angles: 90.00 90.00 120.00
Space group R3m (No. 160, hexagonal axes)
One atom of each set of equivalent atoms:
1 Sc 0.0000 0.0000 0.0000 (multiplicity 3)
2 Sc 0.0000 0.0000 0.1791 (multiplicity 3)
3 Pd 0.0000 0.0000 0.5902 (multiplicity 3)
4 Se 0.0000 0.0000 0.7567 (multiplicity 3)


7.
Compound: Sc2Pd2Se
Source: the Alexandria database
Functional: PBE-GGA
Structure: optimized geometry

Output
E ... -6.145 eV per atom
Crystal system ... tetragonal
ΔE to the lowest computed polymorph ... 33.0 meV per atom
Formation energy (no corrections) ... -4.191 eV per formula unit

abc: 7.364 7.364 3.606
angles: 90.00 90.00 90.00
Space group P4/mbm (No. 127)
One atom of each set of equivalent atoms:
1 Sc 0.169 0.331 0.000 (multiplicity 4)
2 Pd 0.129 0.629 0.500 (multiplicity 4)
3 Se 0.000 0.000 0.000 (multiplicity 2)


8.
Compound: Sc2Tl3PdSe6
Source: the Alexandria database
Functional: PBE-GGA
Structure: optimized geometry

Output
E ... -4.706 eV per atom
Crystal system ... monoclinic
Formation energy (no corrections) ... -10.608 eV per formula unit

abc: 6.865 11.721 7.975
angles: 90.00 107.17 90.00
Space group C2/m (No. 12)
One atom of each set of equivalent atoms:
1 Sc 0.000 0.164 0.000 (multiplicity 4)
2 Tl 0.000 0.000 0.500 (multiplicity 2)
3 Tl 0.000 0.324 0.500 (multiplicity 4)
4 Pd 0.000 0.500 0.000 (multiplicity 2)
5 Se 0.218 0.340 0.185 (multiplicity 8)
6 Se 0.235 0.000 0.213 (multiplicity 4)


9.
Compound: ScSiPd4
Source: the Alexandria database
Functional: PBE-GGA
Structure: optimized geometry

Output
E ... -6.119 eV per atom
Crystal system ... monoclinic
Formation energy (no corrections) ... -4.190 eV per formula unit

abc: 5.325 7.534 5.071
angles: 90.00 110.60 90.00
Space group P2_1/c (No. 14)
One atom of each set of equivalent atoms:
1 Sc 0.000 0.000 0.000 (multiplicity 2)
2 Si 0.500 0.000 0.500 (multiplicity 2)
3 Pd 0.135 0.153 0.574 (multiplicity 4)
4 Pd 0.389 0.675 0.354 (multiplicity 4)


10.
Compound: Sc3Si2Pd6
Source: the Alexandria database
Functional: PBE-GGA
Structure: optimized geometry

Output
E ... -6.295 eV per atom
Crystal system ... cubic
Formation energy (no corrections) ... -8.249 eV per formula unit

abc: 9.159 9.159 9.159
angles: 90.00 90.00 90.00
Space group Im-3m (No. 229)
One atom of each set of equivalent atoms:
1 Sc 0.000 0.000 0.288 (multiplicity 12)
2 Si 0.250 0.250 0.250 (multiplicity 8)
3 Pd 0.000 0.321 0.321 (multiplicity 24)


11.
Compound: ScSiPd5
Source: the Alexandria database
Functional: PBE-GGA
Structure: optimized geometry

Output
E ... -5.861 eV per atom
Crystal system ... monoclinic
ΔE to the lowest computed polymorph ... 341.0 meV per atom
Formation energy (no corrections) ... -3.308 eV per formula unit

abc: 8.713 6.622 9.342
angles: 90.00 116.59 90.00
Space group C2/c (No. 15)
One atom of each set of equivalent atoms:
1 Sc 0.000 0.073 0.250 (multiplicity 4)
2 Si 0.250 0.250 0.000 (multiplicity 4)
3 Pd 0.000 0.338 0.750 (multiplicity 4)
4 Pd 0.140 0.396 0.497 (multiplicity 8)
5 Pd 0.215 0.347 0.240 (multiplicity 8)


12.
Compound: Sc2Si6Pd21
Source: the Alexandria database
Functional: PBE-GGA
Structure: optimized geometry

Output
E ... -5.994 eV per atom
Crystal system ... cubic
Formation energy (no corrections) ... -19.566 eV per formula unit

abc: 12.164 12.164 12.164
angles: 90.00 90.00 90.00
Space group Fm-3m (No. 225)
One atom of each set of equivalent atoms:
1 Sc 0.250 0.250 0.250 (multiplicity 8)
2 Si 0.000 0.000 0.233 (multiplicity 24)
3 Pd 0.000 0.000 0.500 (multiplicity 4)
4 Pd 0.000 0.172 0.328 (multiplicity 48)
5 Pd 0.119 0.119 0.119 (multiplicity 32)


13.
Compound: Sc2Si3Pd5
Source: the Alexandria database
Functional: PBE-GGA
Structure: optimized geometry

Output
E ... -6.327 eV per atom
Crystal system ... orthorhombic
Formation energy (no corrections) ... -8.378 eV per formula unit

abc: 4.109 23.551 6.564
angles: 90.00 90.00 90.00
Space group Cmc2_1 (No. 36)
One atom of each set of equivalent atoms:
1 Sc 0.000 0.022 0.000 (multiplicity 4)
2 Sc 0.000 0.326 0.968 (multiplicity 4)
3 Si 0.000 0.115 0.758 (multiplicity 4)
4 Si 0.000 0.273 0.427 (multiplicity 4)
5 Si 0.000 0.453 0.786 (multiplicity 4)
6 Pd 0.000 0.095 0.384 (multiplicity 4)
7 Pd 0.000 0.201 0.152 (multiplicity 4)
8 Pd 0.000 0.218 0.728 (multiplicity 4)
9 Pd 0.000 0.377 0.510 (multiplicity 4)
10 Pd 0.000 0.446 0.163 (multiplicity 4)


14.
Compound: Sc2Si3Pd
Source: the Alexandria database
Functional: PBE-GGA
Structure: optimized geometry

Output
E ... -6.433 eV per atom
Crystal system ... monoclinic
Formation energy (no corrections) ... -4.476 eV per formula unit

abc: 9.891 4.035 6.515
angles: 90.00 130.71 90.00
Space group Cm (No. 8)
One atom of each set of equivalent atoms:
1 Sc 0.000 0.000 0.000 (multiplicity 2)
2 Sc 0.120 0.000 0.628 (multiplicity 2)
3 Si 0.203 0.500 0.424 (multiplicity 2)
4 Si 0.217 0.500 0.028 (multiplicity 2)
5 Si 0.399 0.000 0.612 (multiplicity 2)
6 Pd 0.391 0.000 0.219 (multiplicity 2)


15.
Compound: ScSi3Pd3
Source: the Alexandria database
Functional: PBE-GGA
Structure: optimized geometry

Output
E ... -5.603 eV per atom
Crystal system ... cubic
Formation energy (no corrections) ... -1.044 eV per formula unit

abc: 6.558 6.558 6.558
angles: 90.00 90.00 90.00
Space group Pm-3n (No. 223)
One atom of each set of equivalent atoms:
1 Sc 0.000 0.000 0.000 (multiplicity 2)
2 Si 0.000 0.250 0.500 (multiplicity 6)
3 Pd 0.000 0.500 0.250 (multiplicity 6)


16.
Compound: Sc3Si2Pd2
Source: the Alexandria database
Functional: PBE-GGA
Structure: optimized geometry

Output
E ... -6.637 eV per atom
Crystal system ... orthorhombic
Formation energy (no corrections) ... -6.236 eV per formula unit

abc: 5.496 7.276 12.492
angles: 90.00 90.00 90.00
Space group Pbcm (No. 57)
One atom of each set of equivalent atoms:
1 Sc 0.121 0.083 0.109 (multiplicity 8)
2 Sc 0.362 0.721 0.250 (multiplicity 4)
3 Si 0.140 0.133 0.750 (multiplicity 4)
4 Si 0.285 0.750 0.000 (multiplicity 4)
5 Pd 0.382 0.065 0.589 (multiplicity 8)


17.
Compound: Sc3Si2Pd3
Source: the Alexandria database
Functional: PBE-GGA
Structure: optimized geometry

Output
E ... -6.583 eV per atom
Crystal system ... orthorhombic
Formation energy (no corrections) ... -7.242 eV per formula unit

abc: 7.216 14.751 5.279
angles: 90.00 90.00 90.00
Space group Pnma (No. 62)
One atom of each set of equivalent atoms:
1 Sc 0.028 0.108 0.127 (multiplicity 8)
2 Sc 0.170 0.250 0.627 (multiplicity 4)
3 Si 0.117 0.614 0.368 (multiplicity 8)
4 Pd 0.179 0.034 0.592 (multiplicity 8)
5 Pd 0.188 0.750 0.631 (multiplicity 4)


18.
Compound: Sc2Si4Pd3
Source: the Alexandria database
Functional: PBE-GGA
Structure: optimized geometry

Output
E ... -6.300 eV per atom
Crystal system ... orthorhombic
Formation energy (no corrections) ... -6.767 eV per formula unit

abc: 5.496 14.635 7.070
angles: 90.00 90.00 90.00
Space group Cmce (No. 64)
One atom of each set of equivalent atoms:
1 Sc 0.000 0.100 0.096 (multiplicity 8)
2 Si 0.000 0.174 0.474 (multiplicity 8)
3 Si 0.250 0.065 0.750 (multiplicity 8)
4 Pd 0.000 0.000 0.500 (multiplicity 4)
5 Pd 0.250 0.233 0.750 (multiplicity 8)


19.
Compound: ScSi2Pd5
Source: the Alexandria database
Functional: PBE-GGA
Structure: optimized geometry

Output
E ... -6.076 eV per atom
Crystal system ... orthorhombic
Formation energy (no corrections) ... -5.464 eV per formula unit

abc: 3.677 7.107 9.862
angles: 90.00 90.00 90.00
Space group Immm (No. 71)
One atom of each set of equivalent atoms:
1 Sc 0.000 0.000 0.000 (multiplicity 2)
2 Si 0.000 0.500 0.247 (multiplicity 4)
3 Pd 0.000 0.205 0.355 (multiplicity 8)
4 Pd 0.000 0.500 0.000 (multiplicity 2)